Record 1
DFT (PBE) results for an optimized crystal structure of LiTbW.

DFT total energy: -5.248 eV per atom
V: 61.3 Å³/f.u.

The structure in POSCAR format:
```
LiTbW
1.0
-2.6099 -0.2513 3.5666
-4.4007 0.1139 -0.4652
-2.3984 -3.6472 0.7350
Li Tb W
1 1 1
direct
0.0000 0.0000 0.0000 Li
0.2500 0.2500 0.2500 Tb
0.7500 0.7500 0.7500 W
```

Record 2
DFT (PBE) results for an optimized crystal structure of LiTbY.

V: 91.2 Å³/f.u.
Energy relative to the lowest polymorph listed for this composition: 0 meV per atom

The structure in POSCAR format:
```
LiTbY
1.0
0.0000 3.5727 3.5727
3.5727 0.0000 3.5727
3.5727 3.5727 0.0000
Li Tb Y
1 1 1
direct
0.0000 0.0000 0.0000 Li
0.2500 0.2500 0.2500 Tb
0.7500 0.7500 0.7500 Y
```

Record 3
DFT (PBE) results for an optimized crystal structure of Li2Tb2Zn15.

DFT total energy: -1.950 eV per atom
V: 303.1 Å³/f.u.

The structure in POSCAR format:
```
Li2Tb2Zn15
1.0
-2.9227 -6.0227 0.9451
-0.8889 0.5923 6.6759
-6.3955 2.1785 -0.2449
Li Tb Zn
2 2 15
direct
0.0981 0.0981 0.0981 Li
0.9019 0.9019 0.9019 Li
0.3396 0.3396 0.3396 Tb
0.6604 0.6604 0.6604 Tb
0.5000 0.0000 0.0000 Zn
0.7031 0.2969 0.0000 Zn
0.0000 0.5000 0.0000 Zn
0.2969 0.7031 0.0000 Zn
0.6491 0.6491 0.1597 Zn
0.7031 0.0000 0.2969 Zn
0.0000 0.7031 0.2969 Zn
0.8403 0.3509 0.3509 Zn
0.3509 0.8403 0.3509 Zn
0.0000 0.0000 0.5000 Zn
0.6491 0.1597 0.6491 Zn
0.1597 0.6491 0.6491 Zn
0.2969 0.0000 0.7031 Zn
0.0000 0.2969 0.7031 Zn
0.3509 0.3509 0.8403 Zn
```

Record 4
DFT (PBE) results for an optimized crystal structure of LiTbZn.

DFT total energy: -2.519 eV per atom
V: 72.1 Å³/f.u.

The structure in POSCAR format:
```
LiTbZn
1.0
-4.1916 -2.0290 -0.3802
-3.7823 2.5987 -0.8782
-2.0990 -0.2628 -4.1660
Li Tb Zn
1 1 1
direct
0.2500 0.2500 0.2500 Li
0.7500 0.7500 0.7500 Tb
0.0000 0.0000 0.0000 Zn
```